Entry 1:
RbTiGa (GGA-PBE, optimized geometry); formation energy from the elements = 279 meV per atom; Fermi-level density of states = 3.31 states/eV/f.u.
1.0
13.451 0.000 0.000
0.000 5.583 0.000
0.000 0.000 4.751
Rb Ti Ga
4 4 4
Cartesian
3.343 1.396 1.098
3.382 4.187 3.474
10.069 1.396 1.277
10.107 4.187 3.653
0.006 1.396 2.392
13.445 4.187 2.360
6.731 1.396 4.735
6.719 4.187 0.016
0.000 0.000 0.000
0.000 2.791 0.000
6.725 0.000 2.376
6.725 2.791 2.376

***

Entry 2:
KNa2Pb (GGA-PBE, optimized geometry); formation energy from the elements = 44 meV per atom; Fermi-level density of states = 1.93 states/eV/f.u.
1.0
5.205 0.000 0.000
0.000 5.205 0.000
0.000 0.000 23.241
K Na Pb
4 8 4
Cartesian
0.000 0.000 0.000
0.000 2.602 5.810
2.602 0.000 17.431
2.602 2.602 11.621
0.973 1.301 14.526
1.301 3.576 20.336
1.301 4.232 8.716
1.629 1.301 2.905
3.576 3.904 2.905
3.904 0.973 8.716
3.904 1.629 20.336
4.232 3.904 14.526
0.000 0.000 11.621
0.000 2.602 17.431
2.602 0.000 5.810
2.602 2.602 0.000

***

Entry 3:
MgS (GGA-PBE, optimized geometry); raw formation energy = -2.60 eV per formula unit; Fermi-level density of states = 0.00 states/eV/f.u.
1.0
6.926 0.000 0.000
0.000 6.952 0.000
0.000 0.000 8.655
Mg S
8 8
Cartesian
0.952 0.570 2.001
1.052 4.195 8.461
2.411 2.758 4.134
2.511 6.382 6.328
4.414 2.906 6.654
4.515 6.234 0.194
5.874 0.719 4.521
5.974 4.046 2.327
1.291 3.043 1.976
1.423 0.519 4.463
2.040 6.433 0.136
2.171 3.910 6.303
4.754 0.434 6.679
4.886 2.957 4.192
5.502 3.995 8.519
5.634 6.519 2.352

***

Entry 4:
KRb2CdCl6 (GGA-PBE, optimized geometry); raw formation energy = -13.89 eV per formula unit; Fermi-level density of states = 9.13 states/eV/f.u.
1.0
0.000 5.560 5.560
5.560 0.000 5.560
5.560 5.560 0.000
K Rb Cd Cl
1 2 1 6
Cartesian
0.000 0.000 0.000
2.780 2.780 2.780
8.340 8.340 8.340
5.560 5.560 5.560
5.560 5.560 2.961
5.560 2.961 5.560
8.158 5.560 5.560
2.961 5.560 5.560
5.560 8.158 5.560
5.560 5.560 8.158

***

Results for calculated volume: 29.73, 39.35, 26.04, 34.37 (in Å³ per atom, following the order of the records).